The following is a PBE-GGA calculation of BeAg2HRh after structural relaxation, from Alexandria.

Cell lengths 4.415, 4.415, 4.056 Å; angles 90.00, 90.00, 90.00 degrees
Fractional coordinates of all 5 atoms:
1 Be 0.000 0.000 0.000
2 Ag 0.000 0.500 0.000
3 Ag 0.500 0.000 0.000
4 H 0.500 0.500 0.500
5 Rh 0.000 0.000 0.500

Summary:
- Uncorrected energy: -3.25 eV per atom
- Density of states at the Fermi level: 0.679 states/eV per cell
- Space group: P4/mmm (123)